This record from Alexandria describes a relaxed Tl2VSiO4 crystal. The functional is PBE+U.

Output
**Magnetic moment**: 2.22 μB/cell
**Density of states at the Fermi level**: 3.784 states/eV per cell
**DFT total energy**: -50.5 eV per formula unit
**Space group**: I-4

Cell: 5.7105 5.7105 5.7105 Å, 94.18 117.62 117.62°
With the nearest neighbours (Å) after each atom.
Fractional positions:
Si 0.0000 0.5000 0.5000  4 O 1.65
O 0.2668 0.8450 0.6712  1 Si 1.65
O 0.7332 0.4044 0.5782  1 Si 1.65
O 0.1738 0.3288 0.5956  1 Si 1.65
O 0.8262 0.4218 0.1550  1 Si 1.65
Tl 0.5000 0.7500 0.2500  8 O 3.14-3.36
Tl 0.0000 0.0000 0.0000  8 O 3.21-3.30, 4 Tl 3.54, 4 V 3.54
V 0.5000 0.2500 0.7500  4 O 1.94